# 1
Here is a crystal of MgSO3 relaxed with PBEsol from Alexandria via LeMat-Bulk. Energies are from SCAN.

Properties
Formation energy without anion corrections: -2088 meV per atom
Electronic total energy: -349.88 eV per cell

a b c (Å): 5.277 11.977 8.031
angles (deg): 90.00 100.55 90.00
Atoms (fractional coordinates):
Mg: 0.108 0.246 0.158
Mg: 0.108 0.254 0.658
Mg: 0.337 0.578 0.116
Mg: 0.337 0.922 0.616
Mg: 0.663 0.078 0.384
Mg: 0.663 0.422 0.884
Mg: 0.892 0.746 0.342
Mg: 0.892 0.754 0.842
S: 0.078 0.518 0.741
S: 0.078 0.982 0.241
S: 0.488 0.676 0.508
S: 0.488 0.824 0.008
S: 0.512 0.176 0.992
S: 0.512 0.324 0.492
S: 0.922 0.018 0.759
S: 0.922 0.482 0.259
O: 0.040 0.600 0.262
O: 0.040 0.900 0.762
O: 0.108 0.080 0.660
O: 0.108 0.420 0.160
O: 0.259 0.240 0.923
O: 0.259 0.260 0.423
O: 0.272 0.734 0.992
O: 0.272 0.766 0.492
O: 0.330 0.514 0.872
O: 0.330 0.986 0.372
O: 0.463 0.159 0.174
O: 0.463 0.341 0.674
O: 0.537 0.659 0.326
O: 0.537 0.841 0.826
O: 0.670 0.014 0.628
O: 0.670 0.486 0.128
O: 0.728 0.234 0.508
O: 0.728 0.266 0.008
O: 0.741 0.740 0.577
O: 0.741 0.760 0.077
O: 0.892 0.580 0.840
O: 0.892 0.920 0.340
O: 0.960 0.100 0.238
O: 0.960 0.400 0.738



# 2
Here is a crystal of MgSO3 relaxed with PBEsol from Alexandria via LeMat-Bulk. Energies are from SCAN.

Properties
Formation energy without anion corrections: -2106 meV per atom
Electronic total energy: -262.94 eV per cell

a b c (Å): 7.710 7.710 7.710
angles (deg): 109.34 109.34 109.34
Atoms (fractional coordinates):
Mg: 0.129 0.812 0.313
Mg: 0.188 0.687 0.871
Mg: 0.313 0.129 0.812
Mg: 0.687 0.871 0.188
Mg: 0.812 0.313 0.129
Mg: 0.871 0.188 0.687
S: 0.149 0.291 0.472
S: 0.291 0.472 0.149
S: 0.472 0.149 0.291
S: 0.528 0.851 0.709
S: 0.709 0.528 0.851
S: 0.851 0.709 0.528
O: 0.065 0.841 0.736
O: 0.092 0.389 0.639
O: 0.120 0.516 0.186
O: 0.159 0.264 0.935
O: 0.186 0.120 0.516
O: 0.264 0.935 0.159
O: 0.361 0.908 0.611
O: 0.389 0.639 0.092
O: 0.484 0.814 0.880
O: 0.516 0.186 0.120
O: 0.611 0.361 0.908
O: 0.639 0.092 0.389
O: 0.736 0.065 0.841
O: 0.814 0.880 0.484
O: 0.841 0.736 0.065
O: 0.880 0.484 0.814
O: 0.908 0.611 0.361
O: 0.935 0.159 0.264